# 1
Material: LaPu2I6
Method: DFT, PBE
State: relaxed

a b c (Å): 8.9801 8.9801 11.0653
angles (deg): 110.62 110.62 28.06
Closest atoms and distances in Å follow each position.
Element x y z (fractional)
La: 0.0000 0.0000 0.0000  6 I 3.23-3.25
Pu: 0.3344 0.3344 0.6674  6 I 3.17-3.20
Pu: 0.6656 0.6656 0.3326  6 I 3.17-3.20
I: 0.0269 0.0269 0.3048  2 Pu 3.18, 1 La 3.23
I: 0.3041 0.3041 0.3672  3 Pu 3.17
I: 0.3553 0.3553 0.9668  1 Pu 3.20, 2 La 3.25
I: 0.6447 0.6447 0.0332  1 Pu 3.20, 2 La 3.25
I: 0.6959 0.6959 0.6328  3 Pu 3.17
I: 0.9731 0.9731 0.6952  2 Pu 3.18, 1 La 3.23

Summary:
Its space-group type is C2/m, No. 12.

---

# 2
Material: LaPuI6
Method: DFT, PBE
State: relaxed

a b c (Å): 7.7921 7.7959 8.5176
angles (deg): 62.84 62.79 60.05
Closest atoms and distances in Å follow each position.
Element x y z (fractional)
La: 0.0000 0.0000 0.0000  6 I 3.18-3.19
Pu: 0.5000 0.5000 0.5000  6 I 3.11
I: 0.0927 0.7426 0.7496  1 Pu 3.11, 1 La 3.19
I: 0.2575 0.5860 0.2498  1 Pu 3.11, 1 La 3.18
I: 0.4146 0.0932 0.7487  1 Pu 3.11, 1 La 3.19
I: 0.5854 0.9068 0.2513  1 Pu 3.11, 1 La 3.19
I: 0.7425 0.4140 0.7502  1 Pu 3.11, 1 La 3.18
I: 0.9073 0.2574 0.2504  1 Pu 3.11, 1 La 3.19

Summary:
Its space-group type is P-1, No. 2.

---

# 3
Material: RbLaI2
Method: DFT, PBE
State: relaxed

a b c (Å): 4.0641 4.0641 8.7442
angles (deg): 90.00 90.00 90.00
Closest atoms and distances in Å follow each position.
Element x y z (fractional)
Rb: 0.0000 0.0000 0.0000  8 I 3.80, 4 Rb 4.06
La: 0.0000 0.0000 0.5000  8 I 3.44
I: 0.5000 0.5000 0.2848  4 La 3.44, 1 I 3.76, 4 Rb 3.80
I: 0.5000 0.5000 0.7152  4 La 3.44, 1 I 3.76, 4 Rb 3.80

Summary:
Its space-group type is P4/mmm, No. 123. The polymorph energy (0 for the lowest one) comes out at 0.15 eV per formula unit.

---

# 4
Material: RbLaI3
Method: DFT, PBE
State: relaxed

a b c (Å): 6.3129 6.3129 6.3129
angles (deg): 90.00 90.00 90.00
Closest atoms and distances in Å follow each position.
Element x y z (fractional)
Rb: 0.0000 0.0000 0.0000  12 I 4.46
La: 0.5000 0.5000 0.5000  6 I 3.16
I: 0.0000 0.5000 0.5000  2 La 3.16
I: 0.5000 0.0000 0.5000  2 La 3.16
I: 0.5000 0.5000 0.0000  2 La 3.16

Summary:
Its space-group type is Pm-3m, No. 221. The polymorph energy (0 for the lowest one) comes out at 0.54 eV per formula unit.

---

Per-record E_form (uncorrected), eV/atom: -1.170 -1.232 -1.090 -1.298